PBE CsLiSi, relaxed; E_form (uncorrected) = 0.01 eV per atom; space-group type = P1, No. 1; N(E_F) = 2.33 states/eV per cell; energy relative to the lowest polymorph listed for this composition = 63 meV per atom; magnetic moment = 0.0 μB per cell; total energy = -2.7231 eV per atom
1.0
3.9485 0.0000 0.0000
1.9535 4.5714 0.0000
1.5355 -0.3540 12.2428
Cs Li Si
2 2 2
Direct
0.0000 0.0000 0.0000
0.4648 0.5391 0.4108
0.2980 0.6562 0.6759
0.8217 0.5148 0.7973
0.0550 0.1855 0.6219
0.5435 0.1151 0.7401



PBE YScAu2, relaxed; space-group type = Amm2, No. 38; N(E_F) = 3.55 states/eV per cell; energy relative to the lowest polymorph listed for this composition = 17 meV per atom; magnetic moment = 0.0 μB per cell; total energy = -5.6484 eV per atom
1.0
4.6008 0.0000 0.0000
0.0000 1.7947 5.4140
0.0000 -1.7947 5.4140
Y Sc Au
1 1 2
Direct
0.0000 0.0000 0.0000
0.5000 0.2816 0.2816
0.0000 0.7314 0.7314
0.5000 0.5553 0.5553



PBE NdYSb2O8, relaxed; E_form (uncorrected) = -2.31 eV per atom; space-group type = I-4, No. 82; N(E_F) = 0.00 states/eV per cell; magnetic moment = 0.0 μB per cell; total energy = -7.2340 eV per atom
1.0
-2.6653 2.6653 5.7072
2.6653 -2.6653 5.7072
2.6653 2.6653 -5.7072
Nd Y Sb O
1 1 2 8
Direct
0.0000 0.0000 0.0000
0.2500 0.7500 0.5000
0.5000 0.5000 0.0000
0.7500 0.2500 0.5000
0.0182 0.0851 0.4310
0.2380 0.6625 0.0800
0.3375 0.4175 0.5755
0.4128 0.9818 0.0668
0.5825 0.1580 0.9200
0.6540 0.5872 0.5690
0.8420 0.7620 0.4245
0.9149 0.3460 0.9332



PBE SrCoPb2Se, relaxed; E_form (uncorrected) = 1.23 eV per atom; space-group type = P4/mmm, No. 123; N(E_F) = 5.79 states/eV per cell; magnetic moment = 0.0 μB per cell; total energy = -2.7041 eV per atom
1.0
6.1389 0.0000 0.0000
0.0000 6.1389 0.0000
0.0000 0.0000 4.5708
Sr Co Pb Se
1 1 2 1
Direct
0.0000 0.0000 0.0000
0.0000 0.0000 0.5000
0.0000 0.5000 0.0000
0.5000 0.0000 0.0000
0.5000 0.5000 0.5000



PBE Mn2InSe2, relaxed; E_form (uncorrected) = -0.19 eV per atom; space-group type = I4/mmm, No. 139; N(E_F) = 3.04 states/eV per cell; magnetic moment = 4.0 μB per cell; total energy = -5.7965 eV per atom
1.0
-1.8153 1.8153 7.7640
1.8153 -1.8153 7.7640
1.8153 1.8153 -7.7640
Mn In Se
2 1 2
Direct
0.2500 0.7500 0.5000
0.7500 0.2500 0.5000
0.0000 0.0000 0.0000
0.3530 0.3530 0.0000
0.6470 0.6470 0.0000



PBE Y3Er4Tl2, relaxed; space-group type = C2/m, No. 12; N(E_F) = 10.37 states/eV per cell; magnetic moment = 0.0 μB per cell; total energy = -4.8713 eV per atom
1.0
6.0027 -2.6776 0.0000
6.0027 2.6776 0.0000
-5.9148 0.0000 8.2786
Y Er Tl
3 4 2
Direct
0.0000 0.0000 0.0000
0.3540 0.3540 0.3211
0.6460 0.6460 0.6789
0.0964 0.0964 0.4254
0.2689 0.2689 0.9207
0.7311 0.7311 0.0793
0.9036 0.9036 0.5746
0.4102 0.4102 0.7426
0.5898 0.5898 0.2574



PBE Sc12Te3O5, relaxed; E_form (uncorrected) = -1.69 eV per atom; space-group type = Ia-3d, No. 230; N(E_F) = 65.20 states/eV per cell; magnetic moment = 0.0 μB per cell; total energy = -7.1988 eV per atom
1.0
-7.2784 7.2784 7.2784
7.2784 -7.2784 7.2784
7.2784 7.2784 -7.2784
Sc Te O
48 12 20
Direct
0.0007 0.1903 0.1005
0.0007 0.3104 0.9002
0.0897 0.6903 0.6896
0.0897 0.8995 0.4002
0.0998 0.6005 0.4103
0.0998 0.9993 0.6896
0.1005 0.0007 0.1903
0.1005 0.5998 0.9103
0.1903 0.1005 0.0007
0.1896 0.1903 0.5897
0.1896 0.4993 0.5998
0.1903 0.5897 0.1896
0.3097 0.3104 0.9103
0.3097 0.4993 0.3995
0.3104 0.9002 0.0007
0.3104 0.9103 0.3097
0.3995 0.3097 0.4993
0.3995 0.5897 0.9002
0.4002 0.0897 0.8995
0.4002 0.8104 0.5007
0.4103 0.0998 0.6005
0.4103 0.8104 0.8097
0.4993 0.3995 0.3097
0.4993 0.5998 0.1896
0.5007 0.4002 0.8104
0.5007 0.6005 0.6903
0.5897 0.1896 0.1903
0.5897 0.9002 0.3995
0.5998 0.1896 0.4993
0.5998 0.9103 0.1005
0.6005 0.4103 0.0998
0.6005 0.6903 0.5007
0.6896 0.0897 0.6903
0.6896 0.0998 0.9993
0.6903 0.5007 0.6005
0.6903 0.6896 0.0897
0.8097 0.4103 0.8104
0.8104 0.5007 0.4002
0.8104 0.8097 0.4103
0.8097 0.8995 0.9993
0.8995 0.4002 0.0897
0.8995 0.9993 0.8097
0.9002 0.0007 0.3104
0.9002 0.3995 0.5897
0.9103 0.1005 0.5998
0.9103 0.3097 0.3104
0.9993 0.6896 0.0998
0.9993 0.8097 0.8995
0.1250 0.2500 0.3750
0.1250 0.3750 0.7500
0.2500 0.3750 0.1250
0.2500 0.8750 0.6250
0.3750 0.1250 0.2500
0.3750 0.7500 0.1250
0.6250 0.2500 0.8750
0.6250 0.8750 0.7500
0.7500 0.1250 0.3750
0.7500 0.6250 0.8750
0.8750 0.6250 0.2500
0.8750 0.7500 0.6250
0.0000 0.0000 0.0000
0.0000 0.0000 0.5000
0.0000 0.5000 0.0000
0.0000 0.5000 0.5000
0.1250 0.7500 0.8750
0.1250 0.8750 0.2500
0.2500 0.1250 0.8750
0.2500 0.6250 0.3750
0.3750 0.2500 0.6250
0.3750 0.6250 0.7500
0.5000 0.0000 0.0000
0.5000 0.0000 0.5000
0.5000 0.5000 0.0000
0.5000 0.5000 0.5000
0.6250 0.3750 0.2500
0.6250 0.7500 0.3750
0.7500 0.3750 0.6250
0.7500 0.8750 0.1250
0.8750 0.1250 0.7500
0.8750 0.2500 0.1250



PBE CoIrPd2Se8, relaxed; E_form (uncorrected) = 0.20 eV per atom; space-group type = I-4m2, No. 119; N(E_F) = 10.60 states/eV per cell; magnetic moment = 0.5 μB per cell; total energy = -4.3168 eV per atom
1.0
-3.9834 3.9834 4.2413
3.9834 -3.9834 4.2413
3.9834 3.9834 -4.2413
Co Ir Pd Se
1 1 2 8
Direct
0.0000 0.0000 0.0000
0.7500 0.2500 0.5000
0.2500 0.7500 0.5000
0.5000 0.5000 0.0000
0.0205 0.3376 0.3171
0.0205 0.7035 0.6829
0.0880 0.2655 0.8224
0.2965 0.9795 0.3171
0.4431 0.2655 0.1776
0.6624 0.9795 0.6829
0.7345 0.5569 0.8224
0.7345 0.9120 0.1776



PBE KCdPt2, relaxed; space-group type = Immm, No. 71; N(E_F) = 1.89 states/eV per cell; energy relative to the lowest polymorph listed for this composition = 398 meV per atom; magnetic moment = 0.0 μB per cell; total energy = -3.3383 eV per atom
1.0
-2.1412 2.1621 4.3072
2.1412 -2.1621 4.3072
2.1412 2.1621 -4.3072
K Cd Pt
1 1 2
Direct
0.0000 0.0000 0.0000
0.5000 0.5000 0.0000
0.2508 0.7508 0.5000
0.7492 0.2492 0.5000



PBE AlBr4, relaxed; E_form (uncorrected) = -0.72 eV per atom; space-group type = Fm-3c, No. 226; N(E_F) = 51.58 states/eV per cell; energy relative to the lowest polymorph listed for this composition = 4 meV per atom; magnetic moment = 6.7 μB per cell; total energy = -2.8118 eV per atom
1.0
0.0000 9.4144 9.4144
9.4144 0.0000 9.4144
9.4144 9.4144 0.0000
Al Br
6 24
Direct
0.2500 0.2500 0.7500
0.2500 0.7500 0.2500
0.2500 0.7500 0.7500
0.7500 0.2500 0.2500
0.7500 0.2500 0.7500
0.7500 0.7500 0.2500
0.0788 0.2821 0.7179
0.0788 0.7179 0.9212
0.0788 0.9212 0.2821
0.2179 0.4212 0.7821
0.2179 0.5788 0.4212
0.2179 0.7821 0.5788
0.2821 0.0788 0.9212
0.2821 0.7179 0.0788
0.2821 0.9212 0.7179
0.4212 0.2179 0.5788
0.4212 0.5788 0.7821
0.4212 0.7821 0.2179
0.5788 0.2179 0.7821
0.5788 0.4212 0.2179
0.5788 0.7821 0.4212
0.7179 0.0788 0.2821
0.7179 0.2821 0.9212
0.7179 0.9212 0.0788
0.7821 0.2179 0.4212
0.7821 0.4212 0.5788
0.7821 0.5788 0.2179
0.9212 0.0788 0.7179
0.9212 0.2821 0.0788
0.9212 0.7179 0.2821



PBE ReNiPb3, relaxed; space-group type = Pm-3m, No. 221; N(E_F) = 3.66 states/eV per cell; energy relative to the lowest polymorph listed for this composition = 108 meV per atom; magnetic moment = 3.6 μB per cell; total energy = -4.7070 eV per atom
1.0
5.0755 0.0000 0.0000
0.0000 5.0755 0.0000
0.0000 0.0000 5.0755
Re Ni Pb
1 1 3
Direct
0.0000 0.0000 0.0000
0.5000 0.5000 0.5000
0.0000 0.5000 0.5000
0.5000 0.0000 0.5000
0.5000 0.5000 0.0000



PBE ScCd, relaxed; space-group type = Cm, No. 8; N(E_F) = 6.61 states/eV per cell; magnetic moment = 0.2 μB per cell; total energy = -3.8032 eV per atom
1.0
6.5265 -1.6419 0.0000
6.5265 1.6419 0.0000
-1.5818 0.0000 6.3282
Sc Cd
3 3
Direct
0.0000 0.0000 0.0000
0.0098 0.0098 0.5172
0.6826 0.6826 0.8522
0.3410 0.3410 0.6711
0.3425 0.3425 0.1887
0.6708 0.6708 0.3404



PBE MgGa3Ni2, relaxed; space-group type = Cmcm, No. 63; N(E_F) = 5.25 states/eV per cell; magnetic moment = 0.0 μB per cell; total energy = -4.0278 eV per atom
1.0
4.3317 -4.0966 0.0000
4.3317 4.0966 0.0000
0.0000 0.0000 5.1397
Mg Ga Ni
2 6 4
Direct
0.0936 0.9064 0.7500
0.9064 0.0936 0.2500
0.0658 0.5853 0.2500
0.4147 0.9342 0.2500
0.4625 0.5375 0.7500
0.5375 0.4625 0.2500
0.5853 0.0658 0.7500
0.9342 0.4147 0.7500
0.2614 0.2614 0.0000
0.2614 0.2614 0.5000
0.7386 0.7386 0.0000
0.7386 0.7386 0.5000



PBE HfPN3, relaxed; E_form (uncorrected) = -0.22 eV per atom; space-group type = Pm-3m, No. 221; N(E_F) = 0.59 states/eV per cell; magnetic moment = 0.0 μB per cell; total energy = -8.2850 eV per atom
1.0
3.5189 0.0000 0.0000
0.0000 3.5189 0.0000
0.0000 0.0000 3.5189
Hf P N
1 1 3
Direct
0.0000 0.0000 0.0000
0.5000 0.5000 0.5000
0.0000 0.5000 0.5000
0.5000 0.0000 0.5000
0.5000 0.5000 0.0000



PBE Sc2Ta2Ru, relaxed; space-group type = P4/mbm, No. 127; N(E_F) = 9.65 states/eV per cell; magnetic moment = 0.0 μB per cell; total energy = -9.0739 eV per atom
1.0
6.5130 0.0000 0.0000
0.0000 6.5130 0.0000
0.0000 0.0000 4.8076
Sc Ta Ru
4 4 2
Direct
0.1644 0.3356 0.0000
0.3356 0.8356 0.0000
0.6644 0.1644 0.0000
0.8356 0.6644 0.0000
0.1471 0.6471 0.5000
0.3529 0.1471 0.5000
0.6471 0.8529 0.5000
0.8529 0.3529 0.5000
0.0000 0.0000 0.5000
0.5000 0.5000 0.5000



PBE SrZr2NbO, relaxed; E_form (uncorrected) = -0.59 eV per atom; space-group type = P4/mmm, No. 123; N(E_F) = 4.55 states/eV per cell; magnetic moment = 0.8 μB per cell; total energy = -7.3498 eV per atom
1.0
4.5338 0.0000 0.0000
0.0000 4.5338 0.0000
0.0000 0.0000 4.9605
Sr Zr Nb O
1 2 1 1
Direct
0.0000 0.0000 0.0000
0.0000 0.5000 0.5000
0.5000 0.0000 0.5000
0.5000 0.5000 0.0000
0.0000 0.0000 0.5000



PBE Te2AsRu, relaxed; E_form (uncorrected) = 0.18 eV per atom; space-group type = Immm, No. 71; N(E_F) = 3.78 states/eV per cell; magnetic moment = 0.0 μB per cell; total energy = -4.8748 eV per atom
1.0
-1.7720 1.9892 7.0087
1.7720 -1.9892 7.0087
1.7720 1.9892 -7.0087
Te As Ru
2 1 1
Direct
0.1522 0.1522 0.0000
0.8478 0.8478 0.0000
0.5000 0.0000 0.5000
0.0000 0.5000 0.5000



PBE TbBeZn2Au4, relaxed; space-group type = R-3m, No. 166; N(E_F) = 2.00 states/eV per cell; magnetic moment = 0.0 μB per cell; total energy = -3.3808 eV per atom
1.0
2.2376 1.2919 8.1395
-2.2376 1.2919 8.1395
0.0000 -2.5837 8.1395
Tb Be Zn Au
1 1 2 4
Direct
0.0000 0.0000 0.0000
0.5000 0.5000 0.5000
0.2488 0.2488 0.2488
0.7512 0.7512 0.7512
0.1353 0.1353 0.1353
0.4002 0.4002 0.4002
0.5998 0.5998 0.5998
0.8647 0.8647 0.8647



PBE PrZnH6Ru, relaxed; space-group type = P-6m2, No. 187; N(E_F) = 1.52 states/eV per cell; magnetic moment = 0.0 μB per cell; total energy = -4.2267 eV per atom
1.0
4.6226 0.0000 0.0000
-2.3113 4.0033 0.0000
0.0000 0.0000 4.4896
Pr Zn H Ru
1 1 6 1
Direct
0.0000 0.0000 0.0000
0.6667 0.3333 0.5000
0.0255 0.5127 0.2325
0.0255 0.5127 0.7675
0.4873 0.5127 0.2325
0.4873 0.5127 0.7675
0.4873 0.9745 0.2325
0.4873 0.9745 0.7675
0.3333 0.6667 0.5000



PBE CsZr2RhAu, relaxed; space-group type = P4/mmm, No. 123; N(E_F) = 6.14 states/eV per cell; magnetic moment = 1.4 μB per cell; total energy = -3.4131 eV per atom
1.0
5.2210 0.0000 0.0000
0.0000 5.2210 0.0000
0.0000 0.0000 5.2392
Cs Zr Rh Au
1 2 1 1
Direct
0.0000 0.0000 0.0000
0.0000 0.5000 0.0000
0.5000 0.0000 0.0000
0.5000 0.5000 0.5000
0.0000 0.0000 0.5000